Material: Y2CdHg
Method: DFT, PBE-GGA
State: optimized geometry

POSCAR file:
```
Y2CdHg
1.0
3.695 0.000 0.000
0.000 5.169 0.000
0.000 0.000 11.029
Y Cd Hg
4 2 2
direct
0.000 0.000 0.000
0.000 0.500 0.227
0.500 0.000 0.727
0.500 0.500 0.500
0.000 0.500 0.765
0.500 0.000 0.265
0.000 0.000 0.479
0.500 0.500 0.979
```

* spin magnetization: 0.00 Bohr magnetons per cell
* DFT formation energy: -0.3132 eV per atom
* mass density: 7.74 g cm⁻³

***

Material: Cs2KCd3Bi4
Method: DFT, PBE-GGA
State: optimized geometry

POSCAR file:
```
Cs2KCd3Bi4
1.0
5.368 0.000 0.000
0.000 5.368 0.000
0.000 0.000 13.068
Cs K Cd Bi
2 1 3 4
direct
0.000 0.500 0.246
0.500 0.000 0.754
0.000 0.000 0.500
0.000 0.500 0.871
0.500 0.000 0.129
0.500 0.500 0.500
0.000 0.000 0.000
0.000 0.500 0.646
0.500 0.000 0.354
0.500 0.500 0.000
```

* spin magnetization: 0.00 Bohr magnetons per cell
* DFT formation energy: -0.2204 eV per atom
* mass density: 6.52 g cm⁻³

***

Material: SrHg2Au2
Method: DFT, PBE-GGA
State: optimized geometry

POSCAR file:
```
SrHg2Au2
1.0
8.202 0.000 0.000
0.000 8.202 0.000
0.000 0.000 3.675
Sr Hg Au
2 4 4
direct
0.000 0.000 0.000
0.500 0.500 0.000
0.124 0.376 0.000
0.376 0.876 0.000
0.624 0.124 0.000
0.876 0.624 0.000
0.179 0.679 0.500
0.321 0.179 0.500
0.679 0.821 0.500
0.821 0.321 0.500
```

* spin magnetization: 0.00 Bohr magnetons per cell
* DFT formation energy: -0.2465 eV per atom
* mass density: 11.86 g cm⁻³

***

Material: Tb2LuAg
Method: DFT, PBE-GGA
State: optimized geometry

POSCAR file:
```
Tb2LuAg
1.0
5.401 0.000 0.000
0.000 5.401 0.000
0.000 0.000 3.726
Tb Lu Ag
2 1 1
direct
0.000 0.500 0.000
0.500 0.000 0.000
0.000 0.000 0.500
0.500 0.500 0.500
```

* spin magnetization: 0.00 Bohr magnetons per cell
* DFT formation energy: -0.0202 eV per atom
* mass density: 9.18 g cm⁻³

***

Material: CeTeH
Method: DFT, PBE-GGA
State: optimized geometry

POSCAR file:
```
CeTeH
1.0
4.230 0.000 0.000
0.000 4.230 0.000
0.000 0.000 8.522
Ce Te H
2 2 2
direct
0.000 0.000 0.000
0.500 0.500 0.500
0.000 0.000 0.376
0.500 0.500 0.876
0.000 0.000 0.746
0.500 0.500 0.246
```

* spin magnetization: 1.88 Bohr magnetons per cell
* E_tot: -28.37 eV for the cell shown
* mass density: 5.85 g cm⁻³

***

Material: KTl6Sb3
Method: DFT, PBE-GGA
State: optimized geometry

POSCAR file:
```
KTl6Sb3
1.0
11.036 0.000 0.000
0.000 4.729 0.000
-3.544 0.000 13.019
K Tl Sb
2 12 6
direct
0.009 0.250 0.263
0.991 0.750 0.737
0.100 0.250 0.979
0.224 0.750 0.429
0.225 0.750 0.177
0.303 0.750 0.703
0.427 0.250 0.564
0.435 0.250 0.077
0.565 0.750 0.923
0.573 0.750 0.436
0.697 0.250 0.297
0.775 0.250 0.823
0.776 0.250 0.571
0.900 0.750 0.021
0.085 0.250 0.551
0.279 0.750 0.940
0.396 0.250 0.302
0.604 0.750 0.698
0.721 0.250 0.060
0.915 0.750 0.449
```

* formation energy (no corrections): -0.05 eV per atom
* spin magnetization: 0.00 Bohr magnetons per cell
* mass density: 7.97 g cm⁻³

***

Material: NbCoOs2
Method: DFT, PBE-GGA
State: optimized geometry

POSCAR file:
```
NbCoOs2
1.0
6.185 0.000 0.000
0.000 6.185 0.000
0.000 0.000 6.185
Nb Co Os
4 4 8
direct
0.000 0.000 0.000
0.000 0.500 0.500
0.500 0.000 0.500
0.500 0.500 0.000
0.000 0.000 0.500
0.000 0.500 0.000
0.500 0.000 0.000
0.500 0.500 0.500
0.250 0.250 0.250
0.250 0.250 0.750
0.250 0.750 0.250
0.250 0.750 0.750
0.750 0.250 0.250
0.750 0.250 0.750
0.750 0.750 0.250
0.750 0.750 0.750
```

* spin magnetization: 12.92 Bohr magnetons per cell
* DFT formation energy: 0.1797 eV per atom
* mass density: 14.94 g cm⁻³

***

Material: Ba2NaTlN
Method: DFT, PBE-GGA
State: optimized geometry

POSCAR file:
```
Ba2NaTlN
1.0
5.672 0.000 0.000
0.000 5.672 0.000
0.000 0.000 4.907
Ba Na Tl N
2 1 1 1
direct
0.000 0.500 0.000
0.500 0.000 0.000
0.000 0.000 0.500
0.500 0.500 0.500
0.000 0.000 0.000
```

* formation energy (no corrections): -0.14 eV per atom
* spin magnetization: 0.58 Bohr magnetons per cell
* mass density: 5.43 g cm⁻³

***

Material: TbCo4C2
Method: DFT, PBE-GGA
State: optimized geometry

POSCAR file:
```
TbCo4C2
1.0
3.490 0.000 0.000
0.000 12.854 0.000
0.000 0.000 3.471
Tb Co C
2 8 4
direct
0.000 0.000 0.000
0.500 0.500 0.000
0.000 0.177 0.500
0.000 0.320 0.000
0.000 0.680 0.000
0.000 0.823 0.500
0.500 0.180 0.000
0.500 0.323 0.500
0.500 0.677 0.500
0.500 0.820 0.000
0.000 0.383 0.500
0.000 0.617 0.500
0.500 0.117 0.500
0.500 0.883 0.500
```

* spin magnetization: 0.00 Bohr magnetons per cell
* DFT formation energy: -0.0751 eV per atom
* mass density: 8.93 g cm⁻³

***

Material: Pu2AlRh2
Method: DFT, PBE-GGA
State: optimized geometry

POSCAR file:
```
Pu2AlRh2
1.0
4.935 -2.744 0.000
4.935 2.744 0.000
-1.894 0.000 7.463
Pu Al Rh
4 2 4
direct
0.002 0.290 0.148
0.290 0.002 0.648
0.710 0.998 0.352
0.998 0.710 0.852
0.360 0.640 0.250
0.640 0.360 0.750
0.234 0.503 0.495
0.497 0.766 0.005
0.503 0.234 0.995
0.766 0.497 0.505
```

* spin magnetization: 21.25 Bohr magnetons per cell
* DFT formation energy: -0.5744 eV per atom
* mass density: 11.85 g cm⁻³

***

Material: CeCuH6Pt
Method: DFT, PBE-GGA
State: optimized geometry

POSCAR file:
```
CeCuH6Pt
1.0
4.611 0.000 0.000
-2.306 3.994 0.000
0.000 0.000 4.452
Ce Cu H Pt
1 1 6 1
direct
0.000 0.000 0.000
0.333 0.667 0.500
0.003 0.501 0.235
0.003 0.501 0.765
0.499 0.501 0.235
0.499 0.501 0.765
0.499 0.997 0.235
0.499 0.997 0.765
0.667 0.333 0.500
```

* spin magnetization: 1.29 Bohr magnetons per cell
* E_tot: -38.50 eV for the cell shown
* mass density: 8.20 g cm⁻³

***

Material: ScSi2AgCl
Method: DFT, PBE-GGA
State: optimized geometry

POSCAR file:
```
ScSi2AgCl
1.0
5.218 0.000 0.000
0.000 5.218 0.000
0.000 0.000 5.313
Sc Si Ag Cl
1 2 1 1
direct
0.000 0.000 0.000
0.000 0.500 0.000
0.500 0.000 0.000
0.000 0.000 0.500
0.500 0.500 0.500
```

* formation energy (no corrections): 0.90 eV per atom
* spin magnetization: 0.00 Bohr magnetons per cell
* mass density: 2.81 g cm⁻³

***

no.,DOS(E_F) (states/eV/cell)
1,11.0
2,4.8
3,2.9
4,4.7
5,14.3
6,7.8
7,34.1
8,5.4
9,13.4
10,35.2
11,6.0
12,4.8